DFT (meta-GGA SCAN) results for a PBEsol-optimized structure of MgP2Pt.

## Properties
Volume   15.6 Å³ per atom
Calculated total energy   -24.173 eV/atom
Formation energy   -0.1821 eV per atom

Lattice parameters (Å, degrees): 8.430 3.382 4.598 90.00 108.25 90.00
Fractional coordinates of all 8 atoms:
Mg 0.000 0.000 0.000
Mg 0.500 0.500 0.000
P 0.261 0.500 0.245
P 0.494 0.000 0.516
P 0.761 0.000 0.245
P 0.994 0.500 0.516
Pt 0.228 0.000 0.630
Pt 0.728 0.500 0.630